The following is a DFT calculation (PBE) of a geometry-optimized TaZn2Rh structure.

Results
The calculation puts the density of states at the Fermi level at 2.535 states/eV/f.u. The calculation puts the total energy at -22.3 eV per formula unit. As for the volume: 15.35 Å³ per atom.

a b c (Å): 4.806 4.806 4.797
angles (deg): 78.87 78.87 34.47
Sites, in units of the cell vectors:
Zn  0.006  0.006  0.985
Zn  0.494  0.494  0.515
Ta  0.250  0.250  0.250
Rh  0.750  0.750  0.750

The following is a DFT calculation (PBE) of a geometry-optimized SrAlAsSe2 structure.

Results
The energy above the lowest structure with this stoichiometry is 1137 meV/atom. The calculation puts the density of states at the Fermi level at 5.977 states/eV/f.u. The calculation puts the total energy at -14.7 eV per formula unit. The uncorrected formation energy is 468 meV/atom. As for the volume: 39.84 Å³ per atom.

a b c (Å): 5.814 5.814 5.893
angles (deg): 90.00 90.00 90.00
Sites, in units of the cell vectors:
Se  0.500  0.000  0.000
Se  0.000  0.500  0.000
Sr  0.000  0.000  0.000
As  0.000  0.000  0.500
Al  0.500  0.500  0.500

Which value of volume does entry 2 give? 39.84 Å³ per atom